{"formula": "Cr2GaC", "functional": "PBE-GGA", "state": "optimized geometry", "magnetic_moment_mub_per_fu": 1.00, "space_group": "I-42d, No. 122", "formation_enthalpy_0k_mev_per_atom": 373.9, "polymorph_energy_ev_per_atom": 0.521, "n_ef_per_ev_atom": 0.46, "e_tot_ev_per_atom": -7.50, "cell": [[6.126, 0.000, 0.000], [0.000, 6.126, 0.000], [3.063, 3.063, 2.448]], "species": ["Cr", "Cr", "Cr", "Cr", "C", "C", "Ga", "Ga"], "fractional_positions": [[0.544, 0.125, 0.250], [0.206, 0.625, 0.250], [0.375, 0.456, 0.750], [0.875, 0.794, 0.750], [0.500, 0.500, 0.000], [0.250, 0.750, 0.500], [0.000, 0.000, 0.000], [0.750, 0.250, 0.500]]}